## K2TaWN4 (PBE)

Data for a relaxed K2TaWN4 crystal.

Summary:
Final energy: -0.30053 Ha/atom
Density: 5.7 g/cm³

Lattice parameters (Å, degrees): 5.805 5.805 8.655 90.00 90.00 90.00
Space group I-4 (No. 82)
Unique sites:
K: 0.000 0.000 0.000 (multiplicity 2)
K: 0.000 0.500 0.250 (multiplicity 2)
Ta: 0.000 0.500 0.750 (multiplicity 2)
W: 0.000 0.000 0.500 (multiplicity 2)
N: 0.112 0.245 0.623 (multiplicity 8)